First-principles (PBE) data for an optimized crystal structure of La2ScBr, as listed in the Alexandria database.

Summary:
E_tot	-4.90	eV per atom
uncorrected formation energy	-0.44	eV/atom
calculated volume	123.34	Å³ per cell
M_tot	0.000	μB per atom
D(E_F)	4.0	states/eV/cell

The structure in CIF format:
```
data_La2ScBr
_chemical_formula_sum 'La2 Sc1 Br1'
_symmetry_space_group_name_H-M 'P m m 2'
_symmetry_Int_Tables_number 25
_cell_length_a 5.649
_cell_length_b 6.115
_cell_length_c 3.570
_cell_angle_alpha 90.00
_cell_angle_beta 90.00
_cell_angle_gamma 90.00
loop_
_symmetry_equiv_pos_as_xyz
'x,y,z'
'-x,-y,z'
'-x,y,z'
'x,-y,z'
loop_
_atom_site_label
_atom_site_type_symbol
_atom_site_fract_x
_atom_site_fract_y
_atom_site_fract_z
_atom_site_occupancy
La1 La 0.000 0.000 0.000 1
La2 La 0.500 0.500 0.259 1
Sc1 Sc 0.500 0.000 0.600 1
Br1 Br 0.000 0.500 0.901 1
```